Entry 1:
Compound: YTa2Zn
Source: Alexandria
Functional: meta-GGA SCAN
Structure: PBEsol geometry

DFT total energy ... -43.34 eV per atom
Size of the total moment ... 0.000 μB per atom
ρ ... 11.05 g/cm3

a b c (Å): 2.9483 5.0320 5.5243
angles (deg): 97.63 90.00 107.03
Fractional positions:
1 Ta 0.0101 0.0201 0.9857
2 Ta 0.2637 0.5275 0.7999
3 Y 0.4876 0.9751 0.4787
4 Zn 0.7386 0.4773 0.2357

=====

Entry 2:
Compound: TaCu3Te4
Source: Alexandria
Functional: meta-GGA SCAN
Structure: PBEsol geometry

DFT total energy ... -32.93 eV per atom
Size of the total moment ... 0.000 μB per atom
ρ ... 7.33 g/cm3

a b c (Å): 5.8471 5.8471 5.8471
angles (deg): 90.00 90.00 90.00
Fractional positions:
1 Ta 0.0000 0.0000 0.0000
2 Cu 0.0000 0.5000 0.0000
3 Cu 0.5000 0.0000 0.0000
4 Cu 0.0000 0.0000 0.5000
5 Te 0.2617 0.7383 0.7383
6 Te 0.2617 0.2617 0.2617
7 Te 0.7383 0.2617 0.7383
8 Te 0.7383 0.7383 0.2617

=====

Entry 3:
Compound: TiTe2Pd
Source: Alexandria
Functional: meta-GGA SCAN
Structure: PBEsol geometry

DFT total energy ... -31.07 eV per atom
Size of the total moment ... 0.112 μB per atom
ρ ... 8.57 g/cm3

a b c (Å): 4.8228 4.8228 4.8228
angles (deg): 60.00 60.00 60.00
Fractional positions:
1 Te 0.2500 0.2500 0.2500
2 Te 0.7500 0.7500 0.7500
3 Pd 0.5000 0.5000 0.5000
4 Ti 0.0000 0.0000 0.0000

=====

Entry 4:
Compound: Y2Al2Zn
Source: Alexandria
Functional: meta-GGA SCAN
Structure: PBEsol geometry

DFT total energy ... -17.41 eV per atom
Size of the total moment ... 0.003 μB per atom
ρ ... 4.56 g/cm3

a b c (Å): 4.6589 6.8124 6.8124
angles (deg): 90.00 90.00 90.00
Fractional positions:
1 Y 0.5000 0.1700 0.6700
2 Y 0.5000 0.6700 0.8300
3 Y 0.5000 0.8300 0.3300
4 Y 0.5000 0.3300 0.1700
5 Zn 0.0000 0.0000 0.0000
6 Zn 0.0000 0.5000 0.5000
7 Al 0.0000 0.3635 0.8635
8 Al 0.0000 0.8635 0.6365
9 Al 0.0000 0.6365 0.1365
10 Al 0.0000 0.1365 0.3635

=====

Entry 5:
Compound: Li2CuAu
Source: Alexandria
Functional: meta-GGA SCAN
Structure: PBEsol geometry

DFT total energy ... -22.67 eV per atom
Size of the total moment ... 0.000 μB per atom
ρ ... 8.41 g/cm3

a b c (Å): 3.8898 3.8898 4.5157
angles (deg): 115.51 115.51 90.00
Fractional positions:
1 Au 0.5000 0.5000 0.0000
2 Cu 0.7500 0.2500 0.5000
3 Li 0.0000 0.0000 0.0000
4 Li 0.2500 0.7500 0.5000

=====

Entry 6:
Compound: Hg2OsSe
Source: Alexandria
Functional: meta-GGA SCAN
Structure: PBEsol geometry

DFT total energy ... -56.54 eV per atom
Size of the total moment ... 0.000 μB per atom
ρ ... 13.96 g/cm3

a b c (Å): 2.8928 2.9762 10.5961
angles (deg): 90.00 90.00 119.08
Fractional positions:
1 Hg 0.0000 0.0000 0.0070
2 Hg 0.5000 0.0000 0.2823
3 Os 0.0000 0.0000 0.5142
4 Se 0.5000 0.0000 0.6965